The following is a DFT calculation (GGA+U) of Ba2Zn3NiF12 after structural relaxation.

Lattice parameters (Å, degrees): 7.2202 7.2202 7.2202 60.17 60.17 60.17
Fractional positions:
Ba 0.1285 0.1285 0.1285
Ba 0.8715 0.8715 0.8715
Zn 0.0000 0.5000 0.5000
Zn 0.5000 0.0000 0.5000
Zn 0.5000 0.5000 0.0000
Ni 0.5000 0.5000 0.5000
F 0.1532 0.1532 0.5896
F 0.1532 0.5896 0.1532
F 0.1651 0.5874 0.5874
F 0.4104 0.8468 0.8468
F 0.4126 0.4126 0.8349
F 0.4126 0.8349 0.4126
F 0.5874 0.1651 0.5874
F 0.5874 0.5874 0.1651
F 0.5896 0.1532 0.1532
F 0.8349 0.4126 0.4126
F 0.8468 0.4104 0.8468
F 0.8468 0.8468 0.4104

## Properties
D(E_F) = 0.000 states/eV per atom
Calculated total energy = -4.52 eV/atom
Symmetry = R-3m, No. 166